Here is a relaxed Hf2NpBi crystal from Alexandria via LeMat-Bulk. Energies are from PBE.

Geometry as extended XYZ:
```
4
Lattice="3.340 0.000 0.000 1.670 2.892 0.000 1.670 0.964 10.037" Properties=species:S:1:pos:R:3 pbc="T T T"
Np 0.000 0.000 0.000
Hf 5.010 2.892 7.558
Hf 1.670 0.964 2.479
Bi 3.340 1.928 5.019
```

Computed properties:
Crystal system: trigonal
Raw total energy: -8.9048 eV per atom
E_form: 1.11 eV per formula unit
Space-group type: R-3m, No. 166
Magnetization: 3.709 Bohr magnetons per cell
Density: 13.8 g/cm3


Here is a relaxed Nd2Ho3Er6 crystal from Alexandria via LeMat-Bulk. Energies are from PBE.

Geometry as extended XYZ:
```
11
Lattice="-2.783 -1.874 3.305 1.838 -4.250 -0.862 12.136 5.798 10.155" Properties=species:S:1:pos:R:3 pbc="T T T"
Ho 6.488 -1.429 8.010
Er 7.413 1.129 10.240
Er 7.106 1.667 6.931
Er 1.467 -0.267 4.440
Nd 0.608 -2.808 2.276
Ho 4.703 1.103 4.587
Er 9.724 -0.059 8.157
Er 4.085 -1.993 5.666
Ho 0.000 0.000 0.000
Nd 10.582 2.483 10.321
Er 3.777 -1.454 2.357
```

Computed properties:
Crystal system: tetragonal
Raw total energy: -4.3313 eV per atom
E_form: 3.00 eV per formula unit
Excess energy over the best structure of this formula in the dataset: 0.96 eV per formula unit
Space-group type: I4/mmm, No. 139
Magnetization: 0.001 Bohr magnetons per cell
Density: 8.1 g/cm3


Here is a relaxed ScAl3Ge crystal from Alexandria via LeMat-Bulk. Energies are from PBE.

Geometry as extended XYZ:
```
5
Lattice="-1.718 -4.896 -0.157 4.831 -1.665 -0.912 0.810 -0.448 5.108" Properties=species:S:1:pos:R:3 pbc="T T T"
Al 2.416 -0.833 -0.456
Sc 0.000 0.000 0.000
Ge 1.962 -3.505 2.019
Al -0.859 -2.448 -0.079
Al 0.405 -0.224 2.554
```

Computed properties:
Crystal system: cubic
Raw total energy: -3.3825 eV per atom
E_form: 5.26 eV per formula unit
Excess energy over the best structure of this formula in the dataset: 2.71 eV per formula unit
Space-group type: Pm-3m, No. 221
Magnetization: 0.000 Bohr magnetons per cell
Density: 2.4 g/cm3


Here is a relaxed ZnCl2 crystal from Alexandria via LeMat-Bulk. Energies are from PBE.

Geometry as extended XYZ:
```
12
Lattice="6.312 0.000 0.000 0.000 6.527 0.000 0.000 0.000 8.214" Properties=species:S:1:pos:R:3 pbc="T T T"
Cl 6.243 3.651 5.031
Zn 0.784 6.052 1.024
Zn 0.784 2.788 3.083
Cl 3.231 5.924 5.289
Cl 0.075 0.603 2.925
Zn 3.940 0.475 7.190
Cl 0.075 3.866 1.182
Zn 3.940 3.739 5.131
Cl 6.243 0.387 7.290
Cl 3.087 6.139 0.924
Cl 3.087 2.876 3.183
Cl 3.231 2.661 7.032
```

Computed properties:
Crystal system: orthorhombic
Raw total energy: -2.7977 eV per atom
Space-group type: Pna2_1, No. 33
Magnetization: 0.000 Bohr magnetons per cell
Density: 2.7 g/cm3